# 1
# PrNdI3N PBE optimized geometry
data_PrNdI3N
_space_group_name_H-M_alt 'C 1 2/m 1'
_space_group_IT_number 12
_cell_length_a 20.6377
_cell_length_b 4.1512
_cell_length_c 12.9339
_cell_angle_alpha 90.00
_cell_angle_beta 126.49
_cell_angle_gamma 90.00
loop_
_space_group_symop_operation_xyz
'x,y,z'
'-x,-y,-z'
'-x,y,-z'
'x,-y,z'
'x+1/2,y+1/2,z'
'-x+1/2,-y+1/2,-z'
'-x+1/2,y+1/2,-z'
'x+1/2,-y+1/2,z'
loop_
_atom_site_label
_atom_site_fract_x
_atom_site_fract_y
_atom_site_fract_z
Pr1 0.1322 0.0000 0.2750
Nd1 0.0689 0.5000 0.9631
I1 0.0344 0.0000 0.7473
I2 0.1687 0.5000 0.5072
I3 0.2153 0.0000 0.1241
N1 0.0713 0.5000 0.1470
# total magnetic moment	0.04	μB/cell
# energy relative to the lowest polymorph listed for this composition	0.000	eV/atom

***

# 2
# DyBiAsO5 PBE optimized geometry
data_DyBiAsO5
_space_group_name_H-M_alt 'P -1'
_space_group_IT_number 2
_cell_length_a 5.7123
_cell_length_b 6.8031
_cell_length_c 6.8526
_cell_angle_alpha 69.88
_cell_angle_beta 87.32
_cell_angle_gamma 69.03
loop_
_space_group_symop_operation_xyz
'x,y,z'
'-x,-y,-z'
loop_
_atom_site_label
_atom_site_fract_x
_atom_site_fract_y
_atom_site_fract_z
Dy1 0.0704 0.2126 0.1283
Bi1 0.4486 0.5462 0.2607
As1 0.2655 0.0912 0.6611
O1 0.0202 0.1442 0.8166
O2 0.1951 0.2786 0.4121
O3 0.2218 0.4489 0.9149
O4 0.2718 0.8322 0.6697
O5 0.4617 0.9201 0.2309
# total magnetic moment	0.00	μB/cell
# energy relative to the lowest polymorph listed for this composition	0.000	eV/atom

***

# 3
# Cs2InOsO6 PBE optimized geometry
data_Cs2InOsO6
_space_group_name_H-M_alt 'F m -3 m'
_space_group_IT_number 225
_space_group_name_Hall '-F 4 2 3'
_cell_length_a 8.3045
_cell_length_b 8.3045
_cell_length_c 8.3045
_cell_angle_alpha 90.00
_cell_angle_beta 90.00
_cell_angle_gamma 90.00
loop_
_atom_site_label
_atom_site_fract_x
_atom_site_fract_y
_atom_site_fract_z
Cs1 0.2500 0.2500 0.2500
In1 0.0000 0.0000 0.0000
Os1 0.0000 0.0000 0.5000
O1 0.0000 0.0000 0.2689
# E	-5.716	eV per atom
# total magnetic moment	3.40	μB/cell

***

# 4
# Ba4AuS3 PBE optimized geometry
data_Ba4AuS3
_space_group_name_H-M_alt 'P 1 m 1'
_space_group_IT_number 6
_cell_length_a 6.4860
_cell_length_b 4.5578
_cell_length_c 9.3615
_cell_angle_alpha 90.00
_cell_angle_beta 90.22
_cell_angle_gamma 90.00
loop_
_space_group_symop_operation_xyz
'x,y,z'
'x,-y,z'
loop_
_atom_site_label
_atom_site_fract_x
_atom_site_fract_y
_atom_site_fract_z
Ba1 0.0000 0.0000 0.0000
Ba2 0.0016 0.0000 0.5001
Ba3 0.4983 0.5000 0.2621
Ba4 0.5038 0.5000 0.7348
Au1 0.4992 0.0000 0.9980
S1 0.0038 0.5000 0.7461
S2 0.5016 0.0000 0.4985
S3 0.9985 0.5000 0.2541
# E	-4.576	eV per atom

***

# 5
# AlTlPdS3 PBE optimized geometry
data_AlTlPdS3
_space_group_name_H-M_alt 'P n m a'
_space_group_IT_number 62
_cell_length_a 13.7667
_cell_length_b 3.6755
_cell_length_c 10.6810
_cell_angle_alpha 90.00
_cell_angle_beta 90.00
_cell_angle_gamma 90.00
loop_
_space_group_symop_operation_xyz
'x,y,z'
'-x,-y,-z'
'-x+1/2,-y,z+1/2'
'x+1/2,y,-z+1/2'
'x+1/2,-y+1/2,-z+1/2'
'-x+1/2,y+1/2,z+1/2'
'-x,y+1/2,-z'
'x,-y+1/2,z'
loop_
_atom_site_label
_atom_site_fract_x
_atom_site_fract_y
_atom_site_fract_z
Al1 0.0144 0.2500 0.1368
Tl1 0.2279 0.2500 0.4516
Pd1 0.0036 0.7500 0.4083
S1 0.0780 0.7500 0.6692
S2 0.0918 0.2500 0.9399
S3 0.1106 0.7500 0.2277
# energy relative to the lowest polymorph listed for this composition	0.017	eV/atom

***

# 6
# RbZrCuTe2Se PBE optimized geometry
data_RbZrCuTe2Se
_space_group_name_H-M_alt 'C m c m'
_space_group_IT_number 63
_space_group_name_Hall '-C 2c 2'
_cell_length_a 4.0709
_cell_length_b 16.2879
_cell_length_c 10.5252
_cell_angle_alpha 90.00
_cell_angle_beta 90.00
_cell_angle_gamma 90.00
loop_
_atom_site_label
_atom_site_fract_x
_atom_site_fract_y
_atom_site_fract_z
Rb1 0.0000 0.2347 0.2500
Zr1 0.0000 0.5000 0.0000
Cu1 0.0000 0.0299 0.7500
Te1 0.0000 0.1250 0.5517
Se1 0.0000 0.4444 0.7500
# E	-4.729	eV per atom
# total magnetic moment	0.02	μB/cell

***

# 7
# PuNbIn PBE optimized geometry
data_PuNbIn
_space_group_name_H-M_alt 'F -4 3 m'
_space_group_IT_number 216
_space_group_name_Hall 'F -4 2 3'
_cell_length_a 6.8259
_cell_length_b 6.8259
_cell_length_c 6.8259
_cell_angle_alpha 90.00
_cell_angle_beta 90.00
_cell_angle_gamma 90.00
loop_
_atom_site_label
_atom_site_fract_x
_atom_site_fract_y
_atom_site_fract_z
Pu1 0.0000 0.0000 0.0000
Nb1 0.2500 0.2500 0.7500
In1 0.2500 0.2500 0.2500
# total magnetic moment	17.79	μB/cell
# energy relative to the lowest polymorph listed for this composition	0.511	eV/atom

***

# 8
# DyLuSiGeOs PBE optimized geometry
data_DyLuSiGeOs
_space_group_name_H-M_alt 'C 1 2/m 1'
_space_group_IT_number 12
_cell_length_a 10.6056
_cell_length_b 4.2762
_cell_length_c 9.9144
_cell_angle_alpha 90.00
_cell_angle_beta 118.02
_cell_angle_gamma 90.00
loop_
_space_group_symop_operation_xyz
'x,y,z'
'-x,-y,-z'
'-x,y,-z'
'x,-y,z'
'x+1/2,y+1/2,z'
'-x+1/2,-y+1/2,-z'
'-x+1/2,y+1/2,-z'
'x+1/2,-y+1/2,z'
loop_
_atom_site_label
_atom_site_fract_x
_atom_site_fract_y
_atom_site_fract_z
Dy1 0.1848 0.0000 0.1094
Lu1 0.0029 0.0000 0.6776
Si1 0.0050 0.5000 0.8755
Ge1 0.1404 0.5000 0.5623
Os1 0.2273 0.5000 0.3656
# total magnetic moment	0.05	μB/cell
# energy relative to the lowest polymorph listed for this composition	0.090	eV/atom

***

# 9
# HfZnS2 PBE optimized geometry
data_HfZnS2
_space_group_name_H-M_alt 'C m c m'
_space_group_IT_number 63
_space_group_name_Hall '-C 2c 2'
_cell_length_a 6.2827
_cell_length_b 8.7931
_cell_length_c 4.6526
_cell_angle_alpha 90.00
_cell_angle_beta 90.00
_cell_angle_gamma 90.00
loop_
_atom_site_label
_atom_site_fract_x
_atom_site_fract_y
_atom_site_fract_z
Hf1 0.0000 0.1243 0.2500
Zn1 0.0000 0.3846 0.7500
S1 0.2353 0.1213 0.7500
# E	-5.570	eV per atom
# total magnetic moment	0.01	μB/cell

***

# 10
# TaBeAg2 PBE optimized geometry
data_TaBeAg2
_space_group_name_H-M_alt 'F -4 3 m'
_space_group_IT_number 216
_space_group_name_Hall 'F -4 2 3'
_cell_length_a 6.2770
_cell_length_b 6.2770
_cell_length_c 6.2770
_cell_angle_alpha 90.00
_cell_angle_beta 90.00
_cell_angle_gamma 90.00
loop_
_atom_site_label
_atom_site_fract_x
_atom_site_fract_y
_atom_site_fract_z
Ta1 0.0000 0.0000 0.0000
Be1 0.2500 0.2500 0.7500
Ag1 0.0000 0.0000 0.5000
Ag2 0.2500 0.2500 0.2500
# E	-4.812	eV per atom
# total magnetic moment	0.13	μB/cell

***

# 11
# NdGeAuSe2S PBE optimized geometry
data_NdGeAuSe2S
_space_group_name_H-M_alt 'C m c m'
_space_group_IT_number 63
_space_group_name_Hall '-C 2c 2'
_cell_length_a 4.0009
_cell_length_b 13.4243
_cell_length_c 10.5556
_cell_angle_alpha 90.00
_cell_angle_beta 90.00
_cell_angle_gamma 90.00
loop_
_atom_site_label
_atom_site_fract_x
_atom_site_fract_y
_atom_site_fract_z
Nd1 0.0000 0.0000 0.0000
Ge1 0.0000 0.2347 0.2500
Au1 0.0000 0.4785 0.7500
Se1 0.0000 0.3430 0.5706
S1 0.0000 0.0987 0.7500
# E	-4.690	eV per atom
# total magnetic moment	0.01	μB/cell

***

# 12
# Dy2Er3Hg3 PBE optimized geometry
data_Dy2Er3Hg3
_space_group_name_H-M_alt 'P 1 m 1'
_space_group_IT_number 6
_cell_length_a 6.5312
_cell_length_b 5.3827
_cell_length_c 6.5557
_cell_angle_alpha 90.00
_cell_angle_beta 115.18
_cell_angle_gamma 90.00
loop_
_space_group_symop_operation_xyz
'x,y,z'
'x,-y,z'
loop_
_atom_site_label
_atom_site_fract_x
_atom_site_fract_y
_atom_site_fract_z
Dy1 0.0000 0.0000 0.0000
Dy2 0.2763 0.5000 0.6987
Er1 0.4765 0.0000 0.4709
Er2 0.7735 0.5000 0.2006
Er3 0.7874 0.5000 0.6938
Hg1 0.2807 0.5000 0.1959
Hg2 0.4953 0.0000 0.9806
Hg3 0.9718 0.0000 0.5030
# total magnetic moment	0.38	μB/cell
# energy relative to the lowest polymorph listed for this composition	0.000	eV/atom
# ΔE_f	-0.26	eV/atom

***

# 13
# HoTlZn PBE optimized geometry
data_HoTlZn
_space_group_name_H-M_alt 'F -4 3 m'
_space_group_IT_number 216
_space_group_name_Hall 'F -4 2 3'
_cell_length_a 6.6417
_cell_length_b 6.6417
_cell_length_c 6.6417
_cell_angle_alpha 90.00
_cell_angle_beta 90.00
_cell_angle_gamma 90.00
loop_
_atom_site_label
_atom_site_fract_x
_atom_site_fract_y
_atom_site_fract_z
Ho1 0.0000 0.0000 0.0000
Tl1 0.0000 0.0000 0.5000
Zn1 0.2500 0.2500 0.2500
# E	-2.986	eV per atom
# total magnetic moment	0.00	μB/cell

***

# 14
# DyGa2Ir2 PBE optimized geometry
data_DyGa2Ir2
_space_group_name_H-M_alt 'I 4/m m m'
_space_group_IT_number 139
_space_group_name_Hall '-I 4 2'
_cell_length_a 4.2317
_cell_length_b 4.2317
_cell_length_c 10.0385
_cell_angle_alpha 90.00
_cell_angle_beta 90.00
_cell_angle_gamma 90.00
loop_
_atom_site_label
_atom_site_fract_x
_atom_site_fract_y
_atom_site_fract_z
Dy1 0.0000 0.0000 0.0000
Ga1 0.0000 0.0000 0.3772
Ir1 0.0000 0.5000 0.2500
# E	-6.365	eV per atom
# total magnetic moment	0.00	μB/cell

***

# 15
# LiHgBiPd PBE optimized geometry
data_LiHgBiPd
_space_group_name_H-M_alt 'F -4 3 m'
_space_group_IT_number 216
_space_group_name_Hall 'F -4 2 3'
_cell_length_a 6.9158
_cell_length_b 6.9158
_cell_length_c 6.9158
_cell_angle_alpha 90.00
_cell_angle_beta 90.00
_cell_angle_gamma 90.00
loop_
_atom_site_label
_atom_site_fract_x
_atom_site_fract_y
_atom_site_fract_z
Li1 0.0000 0.0000 0.0000
Hg1 0.0000 0.0000 0.5000
Bi1 0.2500 0.2500 0.7500
Pd1 0.2500 0.2500 0.2500
# energy relative to the lowest polymorph listed for this composition	0.160	eV/atom

***

# 16
# CoReNiB PBE optimized geometry
data_CoReNiB
_space_group_name_H-M_alt 'F -4 3 m'
_space_group_IT_number 216
_space_group_name_Hall 'F -4 2 3'
_cell_length_a 5.5214
_cell_length_b 5.5214
_cell_length_c 5.5214
_cell_angle_alpha 90.00
_cell_angle_beta 90.00
_cell_angle_gamma 90.00
loop_
_atom_site_label
_atom_site_fract_x
_atom_site_fract_y
_atom_site_fract_z
Co1 0.0000 0.0000 0.0000
Re1 0.0000 0.0000 0.5000
Ni1 0.2500 0.2500 0.2500
B1 0.2500 0.2500 0.7500
# total magnetic moment	0.19	μB/cell
# energy relative to the lowest polymorph listed for this composition	0.000	eV/atom

***

# 17
# KThNi PBE optimized geometry
data_KThNi
_space_group_name_H-M_alt 'F -4 3 m'
_space_group_IT_number 216
_space_group_name_Hall 'F -4 2 3'
_cell_length_a 6.9471
_cell_length_b 6.9471
_cell_length_c 6.9471
_cell_angle_alpha 90.00
_cell_angle_beta 90.00
_cell_angle_gamma 90.00
loop_
_atom_site_label
_atom_site_fract_x
_atom_site_fract_y
_atom_site_fract_z
K1 0.0000 0.0000 0.0000
Th1 0.0000 0.0000 0.5000
Ni1 0.2500 0.2500 0.7500
# E	-3.989	eV per atom
# total magnetic moment	0.08	μB/cell

***

# 18
# HfZnCuBi PBE optimized geometry
data_HfZnCuBi
_space_group_name_H-M_alt 'F -4 3 m'
_space_group_IT_number 216
_space_group_name_Hall 'F -4 2 3'
_cell_length_a 6.8179
_cell_length_b 6.8179
_cell_length_c 6.8179
_cell_angle_alpha 90.00
_cell_angle_beta 90.00
_cell_angle_gamma 90.00
loop_
_atom_site_label
_atom_site_fract_x
_atom_site_fract_y
_atom_site_fract_z
Hf1 0.0000 0.0000 0.0000
Zn1 0.2500 0.2500 0.2500
Cu1 0.2500 0.2500 0.7500
Bi1 0.0000 0.0000 0.5000
# total magnetic moment	0.01	μB/cell
# energy relative to the lowest polymorph listed for this composition	0.000	eV/atom

***

# 19
# K2Zn2BiP PBE optimized geometry
data_K2Zn2BiP
_space_group_name_H-M_alt 'P -6 m 2'
_space_group_IT_number 187
_space_group_name_Hall 'P -6 2'
_cell_length_a 4.4524
_cell_length_b 4.4524
_cell_length_c 10.4383
_cell_angle_alpha 90.00
_cell_angle_beta 90.00
_cell_angle_gamma 120.00
loop_
_atom_site_label
_atom_site_fract_x
_atom_site_fract_y
_atom_site_fract_z
K1 0.0000 0.0000 0.2333
Zn1 0.3333 0.6667 0.0000
Zn2 0.6667 0.3333 0.5000
Bi1 0.3333 0.6667 0.5000
P1 0.6667 0.3333 0.0000
# E	-2.648	eV per atom

***

# 20
# Er5Se6 PBE optimized geometry
data_Er5Se6
_space_group_name_H-M_alt 'C 1 2/m 1'
_space_group_IT_number 12
_cell_length_a 6.9569
_cell_length_b 12.0033
_cell_length_c 6.9352
_cell_angle_alpha 90.00
_cell_angle_beta 109.48
_cell_angle_gamma 90.00
loop_
_space_group_symop_operation_xyz
'x,y,z'
'-x,-y,-z'
'-x,y,-z'
'x,-y,z'
'x+1/2,y+1/2,z'
'-x+1/2,-y+1/2,-z'
'-x+1/2,y+1/2,-z'
'x+1/2,-y+1/2,z'
loop_
_atom_site_label
_atom_site_fract_x
_atom_site_fract_y
_atom_site_fract_z
Er1 0.0000 0.0000 0.0000
Er2 0.0000 0.1650 0.5000
Er3 0.0000 0.3343 0.0000
Se1 0.2454 0.5000 0.2555
Se2 0.2463 0.3356 0.7470
# E	-5.805	eV per atom
# total magnetic moment	0.00	μB/cell

***

# 21
# TbHICl PBE optimized geometry
data_TbHICl
_space_group_name_H-M_alt 'P -3 m 1'
_space_group_IT_number 164
_space_group_name_Hall '-P 3 2"'
_cell_length_a 3.8902
_cell_length_b 3.8902
_cell_length_c 15.1899
_cell_angle_alpha 90.00
_cell_angle_beta 90.00
_cell_angle_gamma 120.00
loop_
_atom_site_label
_atom_site_fract_x
_atom_site_fract_y
_atom_site_fract_z
Tb1 0.0000 0.0000 0.2364
H1 0.3333 0.6667 0.7594
I1 0.3333 0.6667 0.3792
Cl1 0.3333 0.6667 0.1252
# total magnetic moment	0.00	μB/cell
# energy relative to the lowest polymorph listed for this composition	0.001	eV/atom

***

# 22
# RbBiW PBE optimized geometry
data_RbBiW
_space_group_name_H-M_alt 'F -4 3 m'
_space_group_IT_number 216
_space_group_name_Hall 'F -4 2 3'
_cell_length_a 7.4195
_cell_length_b 7.4195
_cell_length_c 7.4195
_cell_angle_alpha 90.00
_cell_angle_beta 90.00
_cell_angle_gamma 90.00
loop_
_atom_site_label
_atom_site_fract_x
_atom_site_fract_y
_atom_site_fract_z
Rb1 0.0000 0.0000 0.0000
Bi1 0.0000 0.0000 0.5000
W1 0.2500 0.2500 0.7500
# total magnetic moment	15.78	μB/cell
# energy relative to the lowest polymorph listed for this composition	0.000	eV/atom

***

# 23
# ZrNbPd PBE optimized geometry
data_ZrNbPd
_space_group_name_H-M_alt 'F -4 3 m'
_space_group_IT_number 216
_space_group_name_Hall 'F -4 2 3'
_cell_length_a 6.3483
_cell_length_b 6.3483
_cell_length_c 6.3483
_cell_angle_alpha 90.00
_cell_angle_beta 90.00
_cell_angle_gamma 90.00
loop_
_atom_site_label
_atom_site_fract_x
_atom_site_fract_y
_atom_site_fract_z
Zr1 0.0000 0.0000 0.0000
Nb1 0.0000 0.0000 0.5000
Pd1 0.2500 0.2500 0.7500
# total magnetic moment	0.01	μB/cell
# energy relative to the lowest polymorph listed for this composition	0.000	eV/atom
# ΔE_f	0.21	eV/atom

***

# 24
# Zn PBE optimized geometry
data_Zn
_space_group_name_H-M_alt 'P 63/m m c'
_space_group_IT_number 194
_space_group_name_Hall '-P 6c 2c'
_cell_length_a 2.6737
_cell_length_b 2.6737
_cell_length_c 4.6655
_cell_angle_alpha 90.00
_cell_angle_beta 90.00
_cell_angle_gamma 120.00
loop_
_atom_site_label
_atom_site_fract_x
_atom_site_fract_y
_atom_site_fract_z
Zn1 0.3333 0.6667 0.2500
# energy relative to the lowest polymorph listed for this composition	0.009	eV/atom
# ΔE_f	0.01	eV/atom